# Sc2BeB, relaxed, DFT PBE
data_Sc2BeB
_chemical_formula_sum 'Sc8 Be4 B4'
_symmetry_space_group_name_H-M 'F m -3 m'
_symmetry_Int_Tables_number 225
_symmetry_space_group_name_Hall '-F 4 2 3'
_cell_length_a 6.090
_cell_length_b 6.090
_cell_length_c 6.090
_cell_angle_alpha 90.00
_cell_angle_beta 90.00
_cell_angle_gamma 90.00
loop_
_atom_site_label
_atom_site_fract_x
_atom_site_fract_y
_atom_site_fract_z
Sc1 0.250 0.250 0.250
Be1 0.000 0.000 0.000
B1 0.000 0.000 0.500
# - Raw total energy: -5.79 eV per atom
# - Crystal system: cubic
# - Magnetization: 0.00 μB per atom
# - Volume: 225.9 Å³/cell
# - Energy above the most stable polymorph in this dataset: 0 meV/atom
# - Calculated formation energy: -25 meV/atom